Computed, not measured: CeGa2WO8 after structural relaxation at the PBE+U level of DFT.

POSCAR file:
```
CeGa2WO8
1.0
4.711 -0.010 -0.003
0.020 4.709 -0.005
0.004 0.007 6.523
O Ga W Ce
8 2 1 1
direct
0.200 0.799 0.215 O
0.800 0.201 0.785 O
0.200 0.799 0.785 O
0.702 0.703 0.000 O
0.298 0.297 0.000 O
0.800 0.201 0.215 O
0.320 0.319 0.500 O
0.680 0.681 0.500 O
0.500 0.500 0.757 Ga
0.500 0.500 0.243 Ga
0.000 0.000 0.000 W
0.000 0.000 0.500 Ce
```

Results
The size of the total moment is 0.0 μB/f.u. For the total energy, the calculation gives -7.094 eV/atom.